# 1
! MnNb4Ru (PBE, optimized geometry); values from VASP
! DOS(E_F), states/eV per atom: 0.9684
! Energy, eV per atom: -9.53
! Formation enthalpy at 0 K, eV/atom: 0.26
&SYSTEM
  ibrav = 0, nat = 6, ntyp = 3
/
ATOMIC_SPECIES
Mn 54.94 Mn.upf
Nb 92.91 Nb.upf
Ru 101.07 Ru.upf
ATOMIC_POSITIONS crystal
Mn 0.001 0.997 0.498
Nb 0.501 0.972 0.259
Nb 0.501 0.022 0.737
Nb 0.001 0.508 0.730
Nb 0.001 0.487 0.266
Ru 0.501 0.497 0.998
CELL_PARAMETERS angstrom
-2.837 -1.648 2.233
-1.620 -2.249 -3.718
3.254 -5.241 0.267

***

# 2
! CaYBi3 (PBE, optimized geometry); values from VASP
! DOS(E_F), states/eV per atom: 0.8384
! Energy, eV per atom: -4.10
! ΔE to the lowest computed polymorph, kJ per mole of atoms: 0.0
! Formation enthalpy at 0 K, eV/atom: -0.08
&SYSTEM
  ibrav = 0, nat = 5, ntyp = 3
/
ATOMIC_SPECIES
Y 88.91 Y.upf
Ca 40.08 Ca.upf
Bi 208.98 Bi.upf
ATOMIC_POSITIONS crystal
Y 0.000 0.000 0.000
Ca 0.500 0.500 0.500
Bi 0.000 0.500 0.000
Bi 0.000 0.000 0.500
Bi 0.500 0.000 0.000
CELL_PARAMETERS angstrom
5.873 0.000 0.000
0.000 5.873 0.000
0.000 0.000 5.873

***

# 3
! ZrCu2Pt (PBE, optimized geometry); values from VASP
! DOS(E_F), states/eV per atom: 0.4395
! Energy, eV per atom: -5.82
! Formation enthalpy at 0 K, eV/atom: -0.12
&SYSTEM
  ibrav = 0, nat = 8, ntyp = 3
/
ATOMIC_SPECIES
Cu 63.55 Cu.upf
Zr 91.22 Zr.upf
Pt 195.08 Pt.upf
ATOMIC_POSITIONS crystal
Cu 0.662 0.125 0.250
Cu 0.088 0.625 0.250
Cu 0.375 0.338 0.750
Cu 0.875 0.912 0.750
Zr 0.500 0.500 0.000
Zr 0.250 0.750 0.500
Pt 0.000 0.000 0.000
Pt 0.750 0.250 0.500
CELL_PARAMETERS angstrom
3.816 0.000 0.000
0.000 3.816 0.000
1.908 1.908 9.392

***

# 4
! Tb3Dy2Er5 (PBE, optimized geometry); values from VASP
! DOS(E_F), states/eV per atom: 1.8406
! Energy, eV per atom: -4.39
! ΔE to the lowest computed polymorph, kJ per mole of atoms: 0.0
! Formation enthalpy at 0 K, eV/atom: 0.20
&SYSTEM
  ibrav = 0, nat = 20, ntyp = 3
/
ATOMIC_SPECIES
Tb 158.93 Tb.upf
Dy 162.50 Dy.upf
Er 167.26 Er.upf
ATOMIC_POSITIONS crystal
Tb 0.232 0.982 0.964
Tb 0.768 0.018 0.036
Tb 0.731 0.475 0.253
Tb 0.269 0.525 0.747
Tb 0.022 0.778 0.253
Tb 0.978 0.222 0.747
Dy 0.772 0.016 0.741
Dy 0.228 0.984 0.259
Dy 0.468 0.725 0.741
Dy 0.532 0.275 0.259
Er 0.272 0.522 0.043
Er 0.728 0.478 0.957
Er 0.026 0.776 0.552
Er 0.528 0.278 0.556
Er 0.974 0.224 0.448
Er 0.472 0.722 0.444
Er 0.859 0.608 0.732
Er 0.141 0.392 0.268
Er 0.373 0.124 0.732
Er 0.627 0.876 0.268
CELL_PARAMETERS angstrom
8.372 1.608 -3.916
0.311 8.477 -3.990
-1.794 -1.982 10.655

***

# 5
! LaAg4Cl (PBE, optimized geometry); values from VASP
! DOS(E_F), states/eV per atom: 0.6076
! Energy, eV per atom: -3.28
! Uncorrected formation energy, eV/atom: -0.245
&SYSTEM
  ibrav = 0, nat = 6, ntyp = 3
/
ATOMIC_SPECIES
La 138.91 La.upf
Ag 107.87 Ag.upf
Cl 35.45 Cl.upf
ATOMIC_POSITIONS crystal
La 0.000 0.000 0.000
Ag 0.874 0.375 0.375
Ag 0.375 0.375 0.874
Ag 0.375 0.874 0.375
Ag 0.375 0.375 0.375
Cl 0.750 0.750 0.750
CELL_PARAMETERS angstrom
-2.378 -5.086 1.088
-4.947 -0.291 2.854
-4.783 -1.560 -2.719

***

# 6
! PrNdAlAu (PBE, optimized geometry); values from VASP
! DOS(E_F), states/eV per atom: 1.1759
! Energy, eV per atom: -4.61
! Formation enthalpy at 0 K, eV/atom: -0.47
&SYSTEM
  ibrav = 0, nat = 4, ntyp = 4
/
ATOMIC_SPECIES
Pr 140.91 Pr.upf
Nd 144.24 Nd.upf
Au 196.97 Au.upf
Al 26.98 Al.upf
ATOMIC_POSITIONS crystal
Pr 0.750 0.750 0.750
Nd 0.250 0.250 0.250
Au 0.000 0.000 0.000
Al 0.500 0.500 0.500
CELL_PARAMETERS angstrom
-0.420 -5.143 -1.299
3.684 -2.272 -3.095
3.386 -3.550 2.062

***

Copy entry 5 word for word.
! LaAg4Cl (PBE, optimized geometry); values from VASP
! DOS(E_F), states/eV per atom: 0.6076
! Energy, eV per atom: -3.28
! Uncorrected formation energy, eV/atom: -0.245
&SYSTEM
  ibrav = 0, nat = 6, ntyp = 3
/
ATOMIC_SPECIES
La 138.91 La.upf
Ag 107.87 Ag.upf
Cl 35.45 Cl.upf
ATOMIC_POSITIONS crystal
La 0.000 0.000 0.000
Ag 0.874 0.375 0.375
Ag 0.375 0.375 0.874
Ag 0.375 0.874 0.375
Ag 0.375 0.375 0.375
Cl 0.750 0.750 0.750
CELL_PARAMETERS angstrom
-2.378 -5.086 1.088
-4.947 -0.291 2.854
-4.783 -1.560 -2.719